Entry 1:
VASP calculation (GGA-PBEsol) on a relaxed structure of Bi2O3.

Values from the calculation:
Total magnetic moment   0.000 μB/atom
E_form (uncorrected)   -5.8 eV/f.u.

Lattice parameters (Å, degrees): 7.8653 7.8653 7.8653 60.00 60.00 60.00
With the nearest neighbours (Å) after each atom.
Fractional coordinates of all 20 atoms:
Bi (0.2460, 0.7513, 0.7513)  3 O 2.14
Bi (0.2487, 0.2487, 0.2487)  3 O 2.14
Bi (0.2487, 0.2487, 0.7540)  3 O 2.14
Bi (0.2487, 0.7540, 0.2487)  3 O 2.14
Bi (0.7513, 0.2460, 0.7513)  3 O 2.14
Bi (0.7513, 0.7513, 0.2460)  3 O 2.14
Bi (0.7513, 0.7513, 0.7513)  3 O 2.14
Bi (0.7540, 0.2487, 0.2487)  3 O 2.14
O (0.0798, 0.0798, 0.6702)  2 Bi 2.14
O (0.0798, 0.6702, 0.0798)  2 Bi 2.14
O (0.0798, 0.6702, 0.6702)  2 Bi 2.14
O (0.3298, 0.3298, 0.9202)  2 Bi 2.14
O (0.3298, 0.9202, 0.3298)  2 Bi 2.14
O (0.3298, 0.9202, 0.9202)  2 Bi 2.14
O (0.6702, 0.0798, 0.0798)  2 Bi 2.14
O (0.6702, 0.0798, 0.6702)  2 Bi 2.14
O (0.6702, 0.6702, 0.0798)  2 Bi 2.14
O (0.9202, 0.3298, 0.3298)  2 Bi 2.14
O (0.9202, 0.3298, 0.9202)  2 Bi 2.14
O (0.9202, 0.9202, 0.3298)  2 Bi 2.14

=====

Entry 2:
VASP calculation (GGA-PBEsol) on a relaxed structure of Mg2FePt.

Values from the calculation:
Total magnetic moment   0.679 μB/atom
Formation energy from the elements   -0.161 eV per atom

Lattice parameters (Å, degrees): 5.2809 5.2809 5.2809 145.64 130.34 61.78
With the nearest neighbours (Å) after each atom.
Fractional coordinates of all 4 atoms:
Mg (0.0000, 0.0000, 0.0000)  4 Fe 2.73, 2 Pt 2.74, 4 Mg 2.97-2.99
Mg (0.7206, 0.2206, 0.5000)  4 Pt 2.72, 2 Fe 2.78, 4 Mg 2.97-2.99
Fe (0.4665, 0.4665, 0.0000)  2 Pt 2.52, 6 Mg 2.73-2.78
Pt (0.2486, 0.7486, 0.5000)  2 Fe 2.52, 6 Mg 2.72-2.74

=====

Entry 3:
VASP calculation (GGA-PBEsol) on a relaxed structure of TiCo2AsOs.

Values from the calculation:
Total magnetic moment   0.487 μB/atom
Formation energy from the elements   0.960 eV per atom

Lattice parameters (Å, degrees): 4.1168 4.1168 4.5569 90.00 90.00 90.00
With the nearest neighbours (Å) after each atom.
Fractional coordinates of all 5 atoms:
Ti (0.0000, 0.0000, 0.0000)  2 As 2.28
Co (0.0000, 0.5000, 0.5000)  2 As 2.06
Co (0.5000, 0.0000, 0.5000)  2 As 2.06
As (0.0000, 0.0000, 0.5000)  4 Co 2.06, 2 Ti 2.28
Os (0.5000, 0.5000, 0.0000)  4 Ti 2.91, 8 Co 3.07

=====

Entry 4:
VASP calculation (GGA-PBEsol) on a relaxed structure of MgTl2Ru.

Values from the calculation:
Total magnetic moment   0.097 μB/atom
Formation energy from the elements   0.308 eV per atom

Lattice parameters (Å, degrees): 3.4405 3.6595 6.1422 90.00 90.00 90.00
With the nearest neighbours (Å) after each atom.
Fractional coordinates of all 4 atoms:
Mg (0.0000, 0.0000, 0.0000)  8 Tl 2.98, 2 Ru 3.07
Tl (0.5000, 0.5000, 0.2625)  4 Ru 2.90, 2 Tl 2.92-3.23, 4 Mg 2.98
Tl (0.5000, 0.5000, 0.7375)  4 Ru 2.90, 2 Tl 2.92-3.23, 4 Mg 2.98
Ru (0.0000, 0.0000, 0.5000)  8 Tl 2.90, 2 Mg 3.07

=====

Entry 5:
VASP calculation (GGA-PBEsol) on a relaxed structure of Al2Tl2Bi.

Values from the calculation:
Total magnetic moment   0.000 μB/atom
Formation energy from the elements   0.282 eV per atom

Lattice parameters (Å, degrees): 7.1921 7.1921 7.1921 144.09 144.09 51.69
With the nearest neighbours (Å) after each atom.
Fractional coordinates of all 5 atoms:
Al (0.0978, 0.0978, 0.0000)  1 Al 2.53
Al (0.9022, 0.9022, 0.0000)  1 Al 2.53
Tl (0.2500, 0.7500, 0.5000)  4 Al 2.97, 4 Tl 3.14
Tl (0.7500, 0.2500, 0.5000)  4 Al 2.97, 4 Tl 3.14
Bi (0.5000, 0.5000, 0.0000)  8 Al 3.38

=====

Entry 6:
VASP calculation (GGA-PBEsol) on a relaxed structure of Sr2BeW.

Values from the calculation:
Total magnetic moment   0.000 μB/atom
Formation energy from the elements   0.928 eV per atom

Lattice parameters (Å, degrees): 6.3604 6.3604 6.3604 150.79 130.11 58.86
With the nearest neighbours (Å) after each atom.
Fractional coordinates of all 4 atoms:
Sr (0.0000, 0.0000, 0.0000)  4 Be 3.18, 4 Sr 3.21-3.48, 2 W 3.55
Sr (0.7003, 0.2003, 0.5000)  4 Sr 3.21-3.48, 2 Be 3.24, 4 W 3.28
Be (0.4458, 0.4458, 0.0000)  2 W 2.35
W (0.2907, 0.7907, 0.5000)  2 Be 2.35

=====

Entry 7:
VASP calculation (GGA-PBEsol) on a relaxed structure of LaNi4Au.

Values from the calculation:
Total magnetic moment   0.001 μB/atom
Formation energy from the elements   -0.264 eV per atom

Lattice parameters (Å, degrees): 4.9561 4.9561 4.9561 60.00 60.00 60.00
With the nearest neighbours (Å) after each atom.
Fractional coordinates of all 6 atoms:
La (0.0000, 0.0000, 0.0000)  12 Ni 2.91, 4 Au 3.03
Ni (0.3761, 0.3761, 0.3761)  6 Ni 2.46-2.50
Ni (0.3761, 0.3761, 0.8718)  6 Ni 2.46-2.50
Ni (0.3761, 0.8718, 0.3761)  6 Ni 2.46-2.50
Ni (0.8718, 0.3761, 0.3761)  6 Ni 2.46-2.50
Au (0.7500, 0.7500, 0.7500)  12 Ni 2.90, 4 La 3.03

=====

Entry 8:
VASP calculation (GGA-PBEsol) on a relaxed structure of BeTlSe.

Values from the calculation:
Total magnetic moment   0.001 μB/atom
E_form (uncorrected)   2.4 eV/f.u.

Lattice parameters (Å, degrees): 4.6969 4.6969 4.6969 60.00 60.00 60.00
With the nearest neighbours (Å) after each atom.
Fractional coordinates of all 3 atoms:
Be (0.0000, 0.0000, 0.0000)  4 Tl 2.88
Tl (0.7500, 0.7500, 0.7500)  4 Se 2.88, 4 Be 2.88
Se (0.5000, 0.5000, 0.5000)  4 Tl 2.88

=====

Entry 9:
VASP calculation (GGA-PBEsol) on a relaxed structure of HfTiNb2F.

Values from the calculation:
Total magnetic moment   0.000 μB/atom
E_form (uncorrected)   1.3 eV/f.u.

Lattice parameters (Å, degrees): 4.9539 4.9539 3.7450 90.00 90.00 90.00
With the nearest neighbours (Å) after each atom.
Fractional coordinates of all 5 atoms:
Hf (0.0000, 0.0000, 0.0000)  8 Nb 3.11
Ti (0.5000, 0.5000, 0.5000)  2 F 1.87
Nb (0.0000, 0.5000, 0.5000)  2 Ti 2.48
Nb (0.5000, 0.0000, 0.5000)  2 Ti 2.48
F (0.5000, 0.5000, 0.0000)  2 Ti 1.87

=====

Entry 10:
VASP calculation (GGA-PBEsol) on a relaxed structure of Cd2Se.

Values from the calculation:
Total magnetic moment   0.000 μB/atom
E_form (uncorrected)   -0.6 eV/f.u.

Lattice parameters (Å, degrees): 3.8634 3.8634 10.7643 90.00 90.00 120.00
With the nearest neighbours (Å) after each atom.
Fractional coordinates of all 6 atoms:
Cd (0.3333, 0.6667, 0.0922)  3 Se 2.80, 3 Cd 2.99
Cd (0.3333, 0.6667, 0.4078)  3 Se 2.80, 3 Cd 2.99
Cd (0.6667, 0.3333, 0.5922)  3 Se 2.80, 3 Cd 2.99
Cd (0.6667, 0.3333, 0.9078)  3 Se 2.80, 3 Cd 2.99
Se (0.0000, 0.0000, 0.2500)  6 Cd 2.80
Se (0.0000, 0.0000, 0.7500)  6 Cd 2.80

=====

Entry 11:
VASP calculation (GGA-PBEsol) on a relaxed structure of P2SO2.

Values from the calculation:
Total magnetic moment   0.055 μB/atom
E_form (uncorrected)   1.0 eV/f.u.

Lattice parameters (Å, degrees): 3.4848 3.4848 4.7556 90.00 90.00 90.00
With the nearest neighbours (Å) after each atom.
Fractional coordinates of all 5 atoms:
P (0.0000, 0.0000, 0.0000)  2 S 2.38, 4 P 2.46
P (0.5000, 0.5000, 0.0000)  4 P 2.46
S (0.0000, 0.0000, 0.5000)  4 O 1.74
O (0.0000, 0.5000, 0.5000)  2 S 1.74
O (0.5000, 0.0000, 0.5000)  2 S 1.74

=====

Entry 12:
VASP calculation (GGA-PBEsol) on a relaxed structure of InFe2PSe.

Values from the calculation:
Total magnetic moment   1.187 μB/atom
E_form (uncorrected)   8.8 eV/f.u.

Lattice parameters (Å, degrees): 4.8179 4.8179 5.0366 90.00 90.00 90.00
With the nearest neighbours (Å) after each atom.
Fractional coordinates of all 5 atoms:
In (0.0000, 0.0000, 0.0000)  4 Fe 2.41, 2 Se 2.52
Fe (0.0000, 0.5000, 0.0000)  2 In 2.41
Fe (0.5000, 0.0000, 0.0000)  2 In 2.41
P (0.5000, 0.5000, 0.5000)  4 Se 3.41, 8 Fe 3.48
Se (0.0000, 0.0000, 0.5000)  2 In 2.52

=====

no.,N(E_F) (states/eV/cell),theoretical density (kg/m3),total DFT energy (no corrections) (eV/atom)
1,0.00,8995,-6.02
2,3.55,7933,-5.00
3,6.87,9264,-7.26
4,2.02,11469,-3.98
5,2.21,8765,-3.26
6,4.28,6413,-4.44
7,6.99,11008,-5.91
8,2.85,6626,-2.71
9,6.10,7790,-8.23
10,1.37,7251,-2.30
11,2.64,3623,-5.10
12,8.43,4779,-4.34